Entry from the Alexandria database: a relaxed CsUFe2O8 crystal (PBE+U).

## Properties
magnetization	7.000	μB per cell
E_tot	-82.51	eV per formula unit
volume	20.85	A^3/atom

Cell: 5.8498 5.8498 8.4435 Å, 90.00 90.00 120.00°
Space group P-3 (No. 147)
Inequivalent atoms, fractional coordinates:
Cs 0.0000 0.0000 0.0000
U 0.0000 0.0000 0.5000
Fe 0.3333 0.6667 0.7157
O 0.1516 0.3237 0.6465
O 0.3333 0.6667 0.9143